Entry A
This record from Alexandria describes an optimized crystal structure of Sr2CaAu. The functional is PBE.

Unit cell a=4.348 b=4.348 c=10.743 alpha=78.32 beta=78.32 gamma=60.00
Sites, in units of the cell vectors:
Sr 0.274 0.274 0.178
Sr 0.059 0.059 0.822
Au 0.666 0.666 0.001
Ca 0.500 0.500 0.499



Entry B
This record from Alexandria describes an optimized crystal structure of Sr2CaAu. The functional is PBE.

Unit cell a=4.223 b=7.292 c=10.430 alpha=90.00 beta=90.00 gamma=106.68
Sites, in units of the cell vectors:
Sr 0.642 0.282 0.434
Sr 0.358 0.718 0.566
Sr 0.642 0.282 0.066
Sr 0.358 0.718 0.934
Ca 0.085 0.168 0.750
Ca 0.915 0.832 0.250
Au 0.740 0.481 0.750
Au 0.260 0.519 0.250



Stability, highest: entry B



Entry A
This record from Alexandria describes an optimized crystal structure of CuAgF3. The functional is PBE.

Unit cell a=3.638 b=3.638 c=12.716 alpha=90.00 beta=90.00 gamma=120.00
Sites, in units of the cell vectors:
F 0.000 0.000 0.750
F 0.000 0.000 0.250
F 0.667 0.333 0.399
F 0.333 0.667 0.601
F 0.667 0.333 0.101
F 0.333 0.667 0.899
Cu 0.667 0.333 0.250
Cu 0.333 0.667 0.750
Ag 0.000 0.000 0.000
Ag 0.000 0.000 0.500



Entry B
This record from Alexandria describes an optimized crystal structure of CuAgF3. The functional is PBE.

Unit cell a=16.386 b=7.270 c=7.270 alpha=156.19 beta=152.50 gamma=27.50
Sites, in units of the cell vectors:
F 0.506 0.638 0.362
F 0.767 0.239 0.761
F 0.233 0.761 0.239
F 0.883 0.795 0.205
F 0.494 0.362 0.638
F 0.117 0.205 0.795
Ag 0.840 0.001 0.999
Ag 0.160 0.999 0.001
Cu 0.338 0.075 0.925
Cu 0.662 0.925 0.075



Stability, highest: entry A



Entry A
This record from Alexandria describes an optimized crystal structure of Sn3PdS. The functional is PBE.

Unit cell a=5.178 b=5.178 c=5.178 alpha=90.00 beta=90.00 gamma=90.00
Sites, in units of the cell vectors:
S 0.500 0.500 0.500
Sn 0.000 0.000 0.500
Sn 0.500 0.000 0.000
Sn 0.000 0.500 0.000
Pd 0.000 0.000 0.000



Entry B
This record from Alexandria describes an optimized crystal structure of Sn3PdS. The functional is PBE.

Unit cell a=5.242 b=5.242 c=5.242 alpha=90.00 beta=90.00 gamma=90.00
Sites, in units of the cell vectors:
Sn 0.000 0.500 0.000
Sn 0.000 0.000 0.500
Sn 0.500 0.000 0.000
S 0.000 0.000 0.000
Pd 0.500 0.500 0.500



Stability, highest: entry A



Entry A
This record from Alexandria describes an optimized crystal structure of KYC. The functional is PBE.

Unit cell a=4.053 b=4.053 c=6.164 alpha=90.00 beta=90.00 gamma=120.00
Sites, in units of the cell vectors:
K 0.667 0.333 0.500
C 0.333 0.667 0.000
Y 0.000 0.000 0.000



Entry B
This record from Alexandria describes an optimized crystal structure of KYC. The functional is PBE.

Unit cell a=5.815 b=9.963 c=3.590 alpha=78.41 beta=72.08 gamma=87.47
Sites, in units of the cell vectors:
K 0.311 0.696 0.803
K 0.803 0.376 0.675
Y 0.307 0.100 0.580
Y 0.829 0.944 0.407
C 0.255 0.932 0.200
C 0.502 0.942 0.071



Stability, highest: entry B



Entry A
This record from Alexandria describes an optimized crystal structure of Ba2ScTc. The functional is PBE.

Unit cell a=4.754 b=4.759 c=5.327 alpha=90.00 beta=90.00 gamma=90.00
Sites, in units of the cell vectors:
Ba 0.500 0.500 0.000
Ba 0.000 0.000 0.000
Sc 0.500 0.000 0.500
Tc 0.000 0.500 0.500



Entry B
This record from Alexandria describes an optimized crystal structure of Ba2ScTc. The functional is PBE.

Unit cell a=6.288 b=6.288 c=6.288 alpha=135.55 beta=135.55 gamma=64.68
Sites, in units of the cell vectors:
Tc 0.750 0.250 0.500
Sc 0.250 0.750 0.500
Ba 0.000 0.000 0.000
Ba 0.500 0.500 0.000



Stability, highest: entry A



Entry A
This record from Alexandria describes an optimized crystal structure of Na2SnAu2. The functional is PBE.

Unit cell a=7.369 b=7.369 c=4.352 alpha=90.00 beta=90.00 gamma=90.00
Sites, in units of the cell vectors:
Au 0.862 0.638 0.000
Au 0.362 0.862 0.000
Au 0.138 0.362 0.000
Au 0.638 0.138 0.000
Na 0.164 0.664 0.500
Na 0.836 0.336 0.500
Na 0.664 0.836 0.500
Na 0.336 0.164 0.500
Sn 0.000 0.000 0.000
Sn 0.500 0.500 0.000



Entry B
This record from Alexandria describes an optimized crystal structure of Na2SnAu2. The functional is PBE.

Unit cell a=4.129 b=4.129 c=7.527 alpha=74.08 beta=74.08 gamma=90.00
Sites, in units of the cell vectors:
Au 0.598 0.598 0.803
Au 0.402 0.402 0.197
Na 0.750 0.250 0.500
Na 0.250 0.750 0.500
Sn 0.000 0.000 0.000



Stability, highest: entry A



Entry A
This record from Alexandria describes an optimized crystal structure of CrOsPb2. The functional is PBE.

Unit cell a=9.047 b=9.047 c=9.047 alpha=21.32 beta=21.32 gamma=21.32
Sites, in units of the cell vectors:
Pb 0.005 0.005 0.005
Pb 0.495 0.495 0.495
Cr 0.250 0.250 0.250
Os 0.750 0.750 0.750



Entry B
This record from Alexandria describes an optimized crystal structure of CrOsPb2. The functional is PBE.

Unit cell a=3.341 b=3.341 c=7.331 alpha=90.00 beta=90.00 gamma=90.00
Sites, in units of the cell vectors:
Os 0.500 0.500 0.750
Pb 0.000 0.000 0.984
Pb 0.000 0.000 0.516
Cr 0.500 0.500 0.250



Stability, highest: entry B